Entry 1:
# NdErCoAg

NdErCoAg after structural relaxation (PBE-GGA, Alexandria via LeMat-Bulk).

## Properties
ΔH_f (0 K) ... -120.0 meV/atom

Cell lengths 7.0869, 7.0869, 7.0869 Å; angles 90.00, 90.00, 90.00 degrees
Closest atoms and distances in Å follow each position.
Space group F-43m (No. 216)
Symmetry-distinct sites (fractional):
1 Nd 0.0000 0.0000 0.0000  4 Co 3.07, 4 Ag 3.07
2 Er 0.0000 0.0000 0.5000  4 Co 3.07, 4 Ag 3.07
3 Co 0.2500 0.2500 0.2500  4 Er 3.07, 4 Nd 3.07
4 Ag 0.2500 0.2500 0.7500  4 Er 3.07, 4 Nd 3.07



Entry 2:
# PmErCoAg

PmErCoAg after structural relaxation (PBE-GGA, Alexandria via LeMat-Bulk).

## Properties
ΔH_f (0 K) ... -136.9 meV/atom

Cell lengths 7.0574, 7.0574, 7.0574 Å; angles 90.00, 90.00, 90.00 degrees
Closest atoms and distances in Å follow each position.
Space group F-43m (No. 216)
Symmetry-distinct sites (fractional):
1 Pm 0.0000 0.0000 0.0000  4 Ag 3.06, 4 Co 3.06
2 Er 0.0000 0.0000 0.5000  4 Co 3.06, 4 Ag 3.06
3 Co 0.2500 0.2500 0.2500  4 Er 3.06, 4 Pm 3.06
4 Ag 0.2500 0.2500 0.7500  4 Er 3.06, 4 Pm 3.06



Entry 3:
# PrErCoAg

PrErCoAg after structural relaxation (PBE-GGA, Alexandria via LeMat-Bulk).

## Properties
ΔH_f (0 K) ... -103.0 meV/atom

Cell lengths 7.1177, 7.1177, 7.1177 Å; angles 90.00, 90.00, 90.00 degrees
Closest atoms and distances in Å follow each position.
Space group F-43m (No. 216)
Symmetry-distinct sites (fractional):
1 Pr 0.0000 0.0000 0.0000  4 Co 3.08, 4 Ag 3.08
2 Er 0.0000 0.0000 0.5000  4 Co 3.08, 4 Ag 3.08
3 Co 0.2500 0.2500 0.2500  4 Pr 3.08, 4 Er 3.08
4 Ag 0.2500 0.2500 0.7500  4 Pr 3.08, 4 Er 3.08



Entry 4:
# ErPuCoAg

ErPuCoAg after structural relaxation (PBE-GGA, Alexandria via LeMat-Bulk).

## Properties
ΔH_f (0 K) ... 27.7 meV/atom

Cell lengths 6.9855, 6.9855, 6.9855 Å; angles 90.00, 90.00, 90.00 degrees
Closest atoms and distances in Å follow each position.
Space group F-43m (No. 216)
Symmetry-distinct sites (fractional):
1 Er 0.0000 0.0000 0.0000  4 Co 3.02, 4 Ag 3.02
2 Pu 0.0000 0.0000 0.5000  4 Ag 3.02, 4 Co 3.02
3 Co 0.2500 0.2500 0.2500  4 Pu 3.02, 4 Er 3.02
4 Ag 0.2500 0.2500 0.7500  4 Er 3.02, 4 Pu 3.02



Entry 5:
# ErCoAgSn

ErCoAgSn after structural relaxation (PBE-GGA, Alexandria via LeMat-Bulk).

## Properties
ΔH_f (0 K) ... -199.9 meV/atom

Cell lengths 6.7139, 6.7139, 6.7139 Å; angles 90.00, 90.00, 90.00 degrees
Closest atoms and distances in Å follow each position.
Space group F-43m (No. 216)
Symmetry-distinct sites (fractional):
1 Er 0.0000 0.0000 0.0000  4 Co 2.91, 4 Ag 2.91
2 Co 0.2500 0.2500 0.7500  4 Sn 2.91, 4 Er 2.91
3 Ag 0.2500 0.2500 0.2500  4 Sn 2.91, 4 Er 2.91
4 Sn 0.0000 0.0000 0.5000  4 Ag 2.91, 4 Co 2.91



Entry 6:
# ErThCoAg

ErThCoAg after structural relaxation (PBE-GGA, Alexandria via LeMat-Bulk).

## Properties
ΔH_f (0 K) ... -103.6 meV/atom

Cell lengths 7.0981, 7.0981, 7.0981 Å; angles 90.00, 90.00, 90.00 degrees
Closest atoms and distances in Å follow each position.
Space group F-43m (No. 216)
Symmetry-distinct sites (fractional):
1 Er 0.0000 0.0000 0.0000  4 Ag 3.07, 4 Co 3.07
2 Th 0.0000 0.0000 0.5000  4 Co 3.07, 4 Ag 3.07
3 Co 0.2500 0.2500 0.7500  4 Er 3.07, 4 Th 3.07
4 Ag 0.2500 0.2500 0.2500  4 Th 3.07, 4 Er 3.07